Here is a relaxed CrWI2O crystal from the Alexandria database. Energies are from PBE with a Hubbard U.

Cell: 5.9981 5.9981 3.8979 Å, 90.00 90.00 90.00°
Closest atoms and distances in Å follow each position.
Sites, in units of the cell vectors:
I  0.0000  0.5000  0.0000  2 W 3.00
I  0.5000  0.0000  0.0000  2 W 3.00
Cr  0.5000  0.5000  0.5000  8 I 3.58, 2 Cr 3.90
O  0.0000  0.0000  0.5000  2 W 1.95
W  0.0000  0.0000  0.0000  2 O 1.95

Magnetic moment = 8.00 μB/cell
Final energy = -4.783 eV per atom